# 1
Below is a relaxed structure of K3Tb2MnSe6, with properties calculated at the PBE-GGA level.

```
K3Tb2MnSe6
1.0
7.1723 -0.0379 0.0026
-3.6172 6.1935 0.0026
-1.1829 -2.0482 7.6656
K Tb Mn Se
3 2 1 6
Direct
0.1691 0.8309 0.5000
0.8309 0.1691 0.5000
0.5000 0.5000 0.5000
0.3319 0.6681 0.0000
0.6681 0.3319 0.0000
0.0000 0.0000 0.0000
0.9314 0.6152 0.7983
0.7602 0.7602 0.1922
0.0686 0.3848 0.2017
0.6152 0.9314 0.7983
0.2398 0.2398 0.8078
0.3848 0.0686 0.2017
```

Energy in eV/atom: -4.927
Formation energy (no corrections) in meV per atom: -1375
Symmetry: No. 12
ρ in g/cm³: 4.71

***

# 2
Below is a relaxed structure of K2TbMn2Se4, with properties calculated at the PBE-GGA level.

```
K2TbMn2Se4
1.0
-0.8044 3.8481 1.4373
-7.7018 -0.9188 -1.8506
1.6706 -4.3548 6.4990
K Tb Mn Se
2 1 2 4
Direct
0.1307 0.5550 0.2614
0.8693 0.4450 0.7386
0.0000 0.0000 0.0000
0.6790 0.9839 0.3579
0.3210 0.0161 0.6421
0.2008 0.1804 0.4017
0.7992 0.8196 0.5983
0.5189 0.7615 0.0378
0.4811 0.2385 0.9622
```

Energy in eV/atom: -5.439
Formation energy (no corrections) in meV per atom: -1094
Symmetry: No. 12
ρ in g/cm³: 4.54

***

# 3
Below is a relaxed structure of KMn2TcSe, with properties calculated at the PBE-GGA level.

```
KMn2TcSe
1.0
-0.7093 3.9096 1.5193
-2.5661 1.0365 -3.8652
-3.5100 -1.3968 1.9557
K Mn Tc Se
1 2 1 1
Direct
0.0000 0.0000 0.0000
0.0000 0.0000 0.5000
0.5000 0.0000 0.0000
0.0000 0.5000 0.0000
0.5000 0.5000 0.5000
```

Energy in eV/atom: -3.639
Formation energy (no corrections) in meV per atom: 3019
Symmetry: No. 123
ρ in g/cm³: 6.29

***

# 4
Below is a relaxed structure of K2ThMnSe4, with properties calculated at the PBE-GGA level.

```
K2ThMnSe4
1.0
-1.8969 0.4616 -3.7833
-6.4075 -0.3221 3.1734
2.3137 7.7495 -0.2145
K Th Mn Se
2 1 1 4
Direct
0.5000 0.0000 0.5000
0.0000 0.5000 0.5000
0.0000 0.0000 0.0000
0.5000 0.5000 0.0000
0.5000 0.2419 0.2099
0.5000 0.7581 0.7901
0.0000 0.2795 0.8064
0.0000 0.7205 0.1936
```

Energy in eV/atom: -5.346
Formation energy (no corrections) in meV per atom: -1255
Symmetry: No. 10
ρ in g/cm³: 4.83

***

# 5
Below is a relaxed structure of KThMnSe4, with properties calculated at the PBE-GGA level.

```
KThMnSe4
1.0
7.0154 0.0000 -0.0598
0.0000 6.4735 0.0000
-2.8270 0.0000 8.9163
K Th Mn Se
2 2 2 8
Direct
0.7326 0.7500 0.9406
0.2674 0.2500 0.0594
0.7510 0.7500 0.4423
0.2490 0.2500 0.5577
0.2254 0.7500 0.3211
0.7746 0.2500 0.6789
0.0212 0.5133 0.7128
0.9788 0.0133 0.2872
0.9788 0.4867 0.2872
0.0212 0.9867 0.7128
0.4303 0.7500 0.1589
0.5697 0.2500 0.8411
0.4249 0.7500 0.5833
0.5751 0.2500 0.4167
```

Energy in eV/atom: -5.696
Formation energy (no corrections) in meV per atom: -1178
Symmetry: No. 11
ρ in g/cm³: 5.28

***

# 6
Below is a relaxed structure of K2Ti2MnSe6, with properties calculated at the PBE-GGA level.

```
K2Ti2MnSe6
1.0
6.5340 -0.0434 0.0566
-3.2672 5.6587 0.0566
-1.1560 -1.9870 7.7782
K Ti Mn Se
2 2 1 6
Direct
0.8359 0.1641 0.0000
0.1641 0.8359 0.0000
0.3319 0.6681 0.5000
0.6681 0.3319 0.5000
0.0000 0.0000 0.5000
0.7215 0.7215 0.6843
0.0633 0.4006 0.6856
0.2785 0.2785 0.3157
0.4006 0.0633 0.6856
0.9367 0.5994 0.3144
0.5994 0.9367 0.3144
```

Energy in eV/atom: -5.418
Formation energy (no corrections) in meV per atom: -1049
Symmetry: No. 12
ρ in g/cm³: 4.05

***

# 7
Below is a relaxed structure of K2TiMnSe4, with properties calculated at the PBE-GGA level.

```
K2TiMnSe4
1.0
-3.3914 -4.8626 0.8890
-0.1081 -4.6907 -5.8571
7.9162 -8.3072 4.9728
K Ti Mn Se
4 2 2 8
Direct
0.1803 0.0000 0.6394
0.8197 0.0000 0.3606
0.5697 0.5000 0.8606
0.9303 0.5000 0.1394
0.2500 0.5000 0.5000
0.5000 0.0000 0.0000
0.7500 0.5000 0.5000
0.0000 0.0000 0.0000
0.3053 0.7969 0.1107
0.2128 0.2031 0.8893
0.8979 0.7969 0.8893
0.5840 0.2031 0.1107
0.4447 0.7031 0.3893
0.5372 0.2969 0.6107
0.8521 0.7031 0.6107
0.1660 0.2969 0.3893
```

Energy in eV/atom: -5.208
Formation energy (no corrections) in meV per atom: -1059
Symmetry: No. 70
ρ in g/cm³: 3.29

***

# 8
Below is a relaxed structure of K3Ti2MnSe6, with properties calculated at the PBE-GGA level.

```
K3Ti2MnSe6
1.0
-3.3374 -5.1061 2.8812
6.7304 0.2161 0.4097
-1.6521 5.5872 5.3015
K Ti Mn Se
3 2 1 6
Direct
0.1686 0.8314 0.5000
0.8314 0.1686 0.5000
0.5000 0.5000 0.5000
0.3436 0.6564 0.0000
0.6564 0.3436 0.0000
0.0000 0.0000 0.0000
0.9384 0.6005 0.8177
0.7242 0.7242 0.1968
0.0616 0.3995 0.1823
0.6005 0.9384 0.8177
0.2758 0.2758 0.8032
0.3995 0.0616 0.1823
```

Energy in eV/atom: -5.152
Formation energy (no corrections) in meV per atom: -1055
Symmetry: No. 12
ρ in g/cm³: 4.12